Model A:
Compound: TlSbW2
Source: Alexandria via LeMat-Bulk
Functional: PBE
Structure: relaxed

Cell lengths 3.3392, 4.9474, 10.7307 Å; angles 90.00, 90.00, 90.00 degrees
Space group Cmm2 (No. 35)
Asymmetric unit:
Tl 0.0000 0.0000 0.0000 x2
Sb 0.0000 0.5000 0.3427 x2
W 0.0000 0.0000 0.5650 x2
W 0.0000 0.5000 0.7490 x2

Properties
Total magnetization, Bohr magnetons per cell: 0.0
DOS(E_F), states/eV per cell: 4.1

Model B:
Compound: TlSbW2
Source: Alexandria via LeMat-Bulk
Functional: PBE
Structure: relaxed

Cell lengths 6.6971, 6.6971, 6.6971 Å; angles 90.00, 90.00, 90.00 degrees
Space group Fm-3m (No. 225)
Asymmetric unit:
Tl 0.0000 0.0000 0.0000 x4
Sb 0.0000 0.0000 0.5000 x4
W 0.2500 0.2500 0.2500 x8

Properties
Total magnetization, Bohr magnetons per cell: 0.0
DOS(E_F), states/eV per cell: 38.4

Model C:
Compound: TlSbW2
Source: Alexandria via LeMat-Bulk
Functional: PBE
Structure: relaxed

Cell lengths 3.1137, 3.1137, 27.3973 Å; angles 90.00, 90.00, 120.00 degrees
Space group R-3m (No. 166, hexagonal axes)
Asymmetric unit:
Tl 0.0000 0.0000 0.0000 x3
Sb 0.0000 0.0000 0.5000 x3
W 0.0000 0.0000 0.2456 x6

Properties
Total magnetization, Bohr magnetons per cell: 0.0
DOS(E_F), states/eV per cell: 8.4

Which structure wins on stability? model A wins.

Model A:
Compound: TlSbW2
Source: Alexandria via LeMat-Bulk
Functional: PBE
Structure: relaxed

Cell lengths 3.1735, 3.1735, 31.0979 Å; angles 90.00, 90.00, 120.00 degrees
Space group R3m (No. 160, hexagonal axes)
Asymmetric unit:
Tl 0.0000 0.0000 0.0000 x3
Sb 0.0000 0.0000 0.2169 x3
W 0.0000 0.0000 0.4762 x3
W 0.0000 0.0000 0.7509 x3

Properties
Total magnetization, Bohr magnetons per cell: 0.0
DOS(E_F), states/eV per cell: 5.9

Model B:
Compound: TlSbW2
Source: Alexandria via LeMat-Bulk
Functional: PBE
Structure: relaxed

Cell lengths 3.3462, 5.0306, 9.2677 Å; angles 90.00, 90.00, 90.00 degrees
Space group Immm (No. 71)
Asymmetric unit:
Tl 0.0000 0.0000 0.0000 x2
Sb 0.0000 0.0000 0.5000 x2
W 0.0000 0.5000 0.2404 x4

Properties
Total magnetization, Bohr magnetons per cell: 0.0
DOS(E_F), states/eV per cell: 7.4

Which structure wins on stability? model A wins.